1.
VASP calculation (PBE) on Sc5Tl2Pd2Ru after structural relaxation.

Summary:
total energy = -6.140 eV per atom
calculated formation energy = -5.35 eV/f.u.

Cell lengths 11.298, 11.298, 3.278 Å; angles 90.00, 90.00, 90.00 degrees
Space group P4/mbm (No. 127)
Asymmetric unit:
Sc 0.000 0.500 0.000
Sc 0.064 0.187 0.000
Tl 0.173 0.673 0.500
Pd 0.134 0.366 0.500
Ru 0.000 0.000 0.500

=====

2.
VASP calculation (PBE) on AcHN after structural relaxation.

Summary:
energy above the lowest structure with this stoichiometry = 0 meV/atom
total energy = -5.941 eV per atom

Cell lengths 7.325, 4.631, 5.954 Å; angles 90.00, 92.00, 90.00 degrees
Space group C2/m (No. 12)
Asymmetric unit:
Ac 0.169 0.000 0.269
H 0.040 0.500 0.046
N 0.177 0.000 0.692

=====

3.
VASP calculation (PBE) on CaWN2 after structural relaxation.

Summary:
energy above the lowest structure with this stoichiometry = 893 meV/atom
total energy = -7.748 eV per atom
formation energy without anion corrections = 0.154 eV/atom

Cell lengths 3.3678, 3.3678, 19.3994 Å; angles 90.00, 90.00, 120.00 degrees
Space group R-3m (No. 166, hexagonal axes)
Asymmetric unit:
Ca 0.0000 0.0000 0.0000
W 0.0000 0.0000 0.5000
N 0.0000 0.0000 0.4039